# MnP2O7 GGA+U optimized geometry
data_MnP2O7
_chemical_formula_sum 'Mn2 P4 O14'
_cell_length_a 6.518
_cell_length_b 7.825
_cell_length_c 4.467
_cell_angle_alpha 90.00
_cell_angle_beta 103.08
_cell_angle_gamma 90.00
_space_group_name_H-M_alt 'C 1 2 1'
_space_group_IT_number 5
loop_
_space_group_symop_operation_xyz
'x,y,z'
'-x,y,-z'
'x+1/2,y+1/2,z'
'-x+1/2,y+1/2,-z'
loop_
_atom_site_label
_atom_site_fract_x
_atom_site_fract_y
_atom_site_fract_z
Mn1 0.000 0.000 0.000
P1 0.203 0.353 0.409
O1 0.000 0.436 0.500
O2 0.130 0.828 0.286
O3 0.148 0.178 0.269
O4 0.240 0.986 0.812
# Relative energy among the computed polymorphs ... 4.4 kJ per mole of atoms
# E_tot ... -142.76 eV per cell